Record 1
The following is a DFT calculation (PBE-GGA) of crystalline NaHoTl at its relaxed geometry.

a = 5.138 Å, b = 5.138 Å, c = 5.138 Å
α = 60.00°, β = 60.00°, γ = 60.00°
Fractional positions:
Na (0.750, 0.750, 0.750)
Ho (0.250, 0.250, 0.250)
Tl (0.000, 0.000, 0.000)

Theoretical density   6.79 g/cm³
Polymorph energy (0 for the lowest one)   0.00 eV per formula unit

---

Record 2
The following is a DFT calculation (PBE-GGA) of crystalline NaHoTm at its relaxed geometry.

a = 5.276 Å, b = 5.276 Å, c = 5.276 Å
α = 60.00°, β = 60.00°, γ = 60.00°
Fractional positions:
Na (0.000, 0.000, 0.000)
Tm (0.750, 0.750, 0.750)
Ho (0.250, 0.250, 0.250)

Theoretical density   5.71 g/cm³
Polymorph energy (0 for the lowest one)   0.00 eV per formula unit

---

Record 3
The following is a DFT calculation (PBE-GGA) of crystalline NaHoW at its relaxed geometry.

a = 4.940 Å, b = 4.940 Å, c = 4.940 Å
α = 60.00°, β = 60.00°, γ = 60.00°
Each line ends with the local moment (μB).
Fractional positions:
Ho (0.250, 0.250, 0.250)  0.41
W (0.000, 0.000, 0.000)  2.20
Na (0.750, 0.750, 0.750)  0.00

Theoretical density   7.24 g/cm³
Polymorph energy (0 for the lowest one)   0.00 eV per formula unit

---

Record 4
The following is a DFT calculation (PBE-GGA) of crystalline NaHoZn at its relaxed geometry.

a = 4.963 Å, b = 4.963 Å, c = 4.963 Å
α = 60.00°, β = 60.00°, γ = 60.00°
Fractional positions:
Ho (0.000, 0.000, 0.000)
Zn (0.750, 0.750, 0.750)
Na (0.250, 0.250, 0.250)

Theoretical density   4.87 g/cm³
Polymorph energy (0 for the lowest one)   0.99 eV per formula unit

---

Record 5
The following is a DFT calculation (PBE-GGA) of crystalline NaHoZn at its relaxed geometry.

a = 4.861 Å, b = 4.861 Å, c = 4.861 Å
α = 60.00°, β = 60.00°, γ = 60.00°
Each line ends with the local moment (μB).
Fractional positions:
Ho (0.250, 0.250, 0.250)  0.10
Zn (0.000, 0.000, 0.000)  0.02
Na (0.750, 0.750, 0.750)  0.00

Theoretical density   5.18 g/cm³
Polymorph energy (0 for the lowest one)   0.00 eV per formula unit

---

Record 6
The following is a DFT calculation (PBE-GGA) of crystalline HoNb at its relaxed geometry.

a = 3.577 Å, b = 3.577 Å, c = 3.577 Å
α = 90.00°, β = 90.00°, γ = 90.00°
Fractional positions:
Nb (0.000, 0.000, 0.000)
Ho (0.500, 0.500, 0.500)

Theoretical density   9.35 g/cm³
Polymorph energy (0 for the lowest one)   0.19 eV per formula unit
Calculated formation energy   0.519 eV/atom

---

Record 7
The following is a DFT calculation (PBE-GGA) of crystalline HoNb at its relaxed geometry.

a = 4.144 Å, b = 4.144 Å, c = 4.144 Å
α = 60.00°, β = 60.00°, γ = 60.00°
Each line ends with the local moment (μB).
Fractional positions:
Nb (0.500, 0.500, 0.500)  0.19
Ho (0.000, 0.000, 0.000)  0.06

Theoretical density   8.51 g/cm³
Polymorph energy (0 for the lowest one)   1.70 eV per formula unit
Calculated formation energy   1.274 eV/atom

---

Record 8
The following is a DFT calculation (PBE-GGA) of crystalline HoNb at its relaxed geometry.

a = 4.731 Å, b = 4.731 Å, c = 4.731 Å
α = 60.00°, β = 60.00°, γ = 60.00°
Each line ends with the local moment (μB).
Fractional positions:
Nb (0.250, 0.250, 0.250)  2.68
Ho (0.000, 0.000, 0.000)  0.96

Theoretical density   5.72 g/cm³
Polymorph energy (0 for the lowest one)   4.18 eV per formula unit
Calculated formation energy   2.512 eV/atom

---

Record 9
The following is a DFT calculation (PBE-GGA) of crystalline HoNb at its relaxed geometry.

a = 3.200 Å, b = 3.200 Å, c = 5.247 Å
α = 90.00°, β = 90.00°, γ = 120.00°
Fractional positions:
Ho (0.667, 0.333, 0.750)
Nb (0.333, 0.667, 0.250)

Theoretical density   9.20 g/cm³
Polymorph energy (0 for the lowest one)   0.00 eV per formula unit
Calculated formation energy   0.422 eV/atom

---

Record 10
The following is a DFT calculation (PBE-GGA) of crystalline NdHoNb2Si2 at its relaxed geometry.

a = 4.025 Å, b = 4.025 Å, c = 7.950 Å
α = 90.00°, β = 90.00°, γ = 90.00°
Each line ends with the local moment (μB).
Fractional positions:
Nb (0.000, 0.500, 0.997)  0.03
Ho (0.000, 0.000, 0.653)  0.34
Si (0.500, 0.500, 0.764)  -0.02
Nd (0.500, 0.500, 0.358)  0.22
Si (0.000, 0.000, 0.229)  -0.01
Nb (0.500, 0.000, 0.997)  0.04

Theoretical density   7.11 g/cm³
DFT total energy   -7.321 eV/atom

---

Record 11
The following is a DFT calculation (PBE-GGA) of crystalline HoNpNb at its relaxed geometry.

a = 4.799 Å, b = 4.799 Å, c = 4.799 Å
α = 60.00°, β = 60.00°, γ = 60.00°
Each line ends with the local moment (μB).
Fractional positions:
Nb (0.750, 0.750, 0.750)  -0.58
Ho (0.000, 0.000, 0.000)  -0.02
Np (0.500, 0.500, 0.500)  3.44

Theoretical density   10.51 g/cm³
Polymorph energy (0 for the lowest one)   0.00 eV per formula unit
Calculated formation energy   0.960 eV/atom

---

Record 12
The following is a DFT calculation (PBE-GGA) of crystalline Ho2Nb2O5 at its relaxed geometry.

a = 6.955 Å, b = 4.030 Å, c = 4.030 Å
α = 90.00°, β = 90.00°, γ = 90.00°
Fractional positions:
Nb (0.192, 0.500, 0.500)
Nb (0.808, 0.500, 0.500)
Ho (0.500, 0.000, 0.000)
O (0.250, 0.000, 0.500)
O (0.250, 0.500, 0.000)
O (0.500, 0.500, 0.500)
O (0.750, 0.000, 0.500)
O (0.750, 0.500, 0.000)
Ho (0.000, 0.000, 0.000)

Theoretical density   8.76 g/cm³
Polymorph energy (0 for the lowest one)   0.00 eV per formula unit

---

Record 13
The following is a DFT calculation (PBE-GGA) of crystalline Ho2Nb2O5 at its relaxed geometry.

a = 9.778 Å, b = 3.504 Å, c = 3.504 Å
α = 90.00°, β = 90.00°, γ = 90.00°
Each line ends with the local moment (μB).
Fractional positions:
O (0.124, 0.000, 0.500)  0.00
O (0.500, 0.500, 0.500)  0.00
Nb (0.000, 0.000, 0.000)  0.10
Ho (0.263, 0.500, 0.500)  0.00
Nb (0.500, 0.000, 0.000)  -0.01
Ho (0.737, 0.500, 0.500)  0.00
O (0.124, 0.500, 0.000)  0.00
O (0.876, 0.500, 0.000)  0.00
O (0.876, 0.000, 0.500)  0.00

Theoretical density   8.24 g/cm³
Polymorph energy (0 for the lowest one)   0.77 eV per formula unit

---

Record 14
The following is a DFT calculation (PBE-GGA) of crystalline Ho3NbO at its relaxed geometry.

a = 4.711 Å, b = 4.711 Å, c = 4.711 Å
α = 90.00°, β = 90.00°, γ = 90.00°
Fractional positions:
Ho (0.500, 0.000, 0.500)
Ho (0.500, 0.500, 0.000)
O (0.500, 0.500, 0.500)
Nb (0.000, 0.000, 0.000)
Ho (0.000, 0.500, 0.500)

Theoretical density   9.59 g/cm³
DFT total energy   -6.769 eV/atom

---

Record 15
The following is a DFT calculation (PBE-GGA) of crystalline Rb2HoNbO4 at its relaxed geometry.

a = 3.342 Å, b = 3.342 Å, c = 12.832 Å
α = 90.00°, β = 90.00°, γ = 120.00°
Fractional positions:
Rb (0.667, 0.333, 0.256)
Rb (0.333, 0.667, 0.744)
Ho (0.000, 0.000, 0.000)
O (0.667, 0.333, 0.585)
O (0.333, 0.667, 0.092)
Nb (0.000, 0.000, 0.500)
O (0.333, 0.667, 0.415)
O (0.667, 0.333, 0.908)

Theoretical density   6.59 g/cm³
DFT total energy   -6.726 eV/atom

---

Record 16
The following is a DFT calculation (PBE-GGA) of crystalline HoNbSO2 at its relaxed geometry.

a = 3.659 Å, b = 3.659 Å, c = 6.267 Å
α = 90.00°, β = 90.00°, γ = 120.00°
Each line ends with the local moment (μB).
Fractional positions:
Nb (0.667, 0.333, 0.725)  0.11
Ho (0.000, 0.000, 0.282)  0.00
O (0.667, 0.333, 0.374)  0.00
O (0.000, 0.000, 0.643)  0.01
S (0.333, 0.667, 0.977)  0.00

Theoretical density   7.36 g/cm³
DFT total energy   -8.009 eV/atom

---

Record 17
The following is a DFT calculation (PBE-GGA) of crystalline HoNbOs at its relaxed geometry.

a = 4.495 Å, b = 4.495 Å, c = 4.495 Å
α = 60.00°, β = 60.00°, γ = 60.00°
Fractional positions:
Os (0.750, 0.750, 0.750)
Nb (0.000, 0.000, 0.000)
Ho (0.250, 0.250, 0.250)

Theoretical density   11.59 g/cm³
Calculated formation energy   0.511 eV/atom

---

Record 18
The following is a DFT calculation (PBE-GGA) of crystalline Ho2NbP3 at its relaxed geometry.

a = 3.826 Å, b = 3.826 Å, c = 9.395 Å
α = 90.00°, β = 90.00°, γ = 120.00°
Fractional positions:
Nb (0.000, 0.000, 0.500)
P (0.000, 0.000, 0.000)
P (0.667, 0.333, 0.646)
P (0.333, 0.667, 0.354)
Ho (0.333, 0.667, 0.822)
Ho (0.667, 0.333, 0.178)

Theoretical density   7.19 g/cm³
DFT total energy   -7.192 eV/atom

---

Record 19
The following is a DFT calculation (PBE-GGA) of crystalline HoNb2Si2P at its relaxed geometry.

a = 3.911 Å, b = 3.911 Å, c = 7.831 Å
α = 90.00°, β = 90.00°, γ = 90.00°
Fractional positions:
Si (0.000, 0.000, 0.775)
Si (0.500, 0.500, 0.273)
Nb (0.000, 0.500, 0.016)
P (0.000, 0.000, 0.265)
Nb (0.500, 0.000, 0.016)
Ho (0.500, 0.500, 0.655)

Theoretical density   6.07 g/cm³
DFT total energy   -7.149 eV/atom

---

Record 20
The following is a DFT calculation (PBE-GGA) of crystalline HoNbPb at its relaxed geometry.

a = 4.886 Å, b = 4.886 Å, c = 4.886 Å
α = 60.00°, β = 60.00°, γ = 60.00°
Each line ends with the local moment (μB).
Fractional positions:
Ho (0.250, 0.250, 0.250)  0.07
Pb (0.000, 0.000, 0.000)  -0.02
Nb (0.750, 0.750, 0.750)  0.99

Theoretical density   9.36 g/cm³
Polymorph energy (0 for the lowest one)   0.00 eV per formula unit

---

Record 21
The following is a DFT calculation (PBE-GGA) of crystalline HoNbPb at its relaxed geometry.

a = 5.029 Å, b = 5.029 Å, c = 5.029 Å
α = 60.00°, β = 60.00°, γ = 60.00°
Each line ends with the local moment (μB).
Fractional positions:
Pb (0.750, 0.750, 0.750)  -0.07
Ho (0.000, 0.000, 0.000)  0.68
Nb (0.250, 0.250, 0.250)  2.48

Theoretical density   8.59 g/cm³
Polymorph energy (0 for the lowest one)   1.25 eV per formula unit

---

Record 22
The following is a DFT calculation (PBE-GGA) of crystalline PmHoNb at its relaxed geometry.

a = 5.091 Å, b = 5.091 Å, c = 5.091 Å
α = 60.00°, β = 60.00°, γ = 60.00°
Each line ends with the local moment (μB).
Fractional positions:
Ho (0.250, 0.250, 0.250)  0.22
Nb (0.000, 0.000, 0.000)  1.44
Pm (0.750, 0.750, 0.750)  0.12

Theoretical density   7.17 g/cm³
Polymorph energy (0 for the lowest one)   0.00 eV per formula unit
Calculated formation energy   0.805 eV/atom

---

Record 23
The following is a DFT calculation (PBE-GGA) of crystalline HoNbPt at its relaxed geometry.

a = 4.616 Å, b = 4.616 Å, c = 4.616 Å
α = 60.00°, β = 60.00°, γ = 60.00°
Fractional positions:
Nb (0.750, 0.750, 0.750)
Ho (0.000, 0.000, 0.000)
Pt (0.250, 0.250, 0.250)

Theoretical density   10.81 g/cm³
Polymorph energy (0 for the lowest one)   2.45 eV per formula unit
Calculated formation energy   0.588 eV/atom

---

Record 24
The following is a DFT calculation (PBE-GGA) of crystalline HoNbPt at its relaxed geometry.

a = 4.612 Å, b = 4.612 Å, c = 4.612 Å
α = 60.00°, β = 60.00°, γ = 60.00°
Fractional positions:
Nb (0.750, 0.750, 0.750)
Pt (0.000, 0.000, 0.000)
Ho (0.250, 0.250, 0.250)

Theoretical density   10.84 g/cm³
Polymorph energy (0 for the lowest one)   0.00 eV per formula unit
Calculated formation energy   -0.230 eV/atom

---

Record 25
The following is a DFT calculation (PBE-GGA) of crystalline HoPuNb at its relaxed geometry.

a = 4.771 Å, b = 4.771 Å, c = 4.771 Å
α = 60.00°, β = 60.00°, γ = 60.00°
Each line ends with the local moment (μB).
Fractional positions:
Ho (0.500, 0.500, 0.500)  -0.10
Nb (0.250, 0.250, 0.250)  -0.85
Pu (0.000, 0.000, 0.000)  4.90

Theoretical density   10.85 g/cm³
Polymorph energy (0 for the lowest one)   0.00 eV per formula unit
Calculated formation energy   0.766 eV/atom

---

Record 26
The following is a DFT calculation (PBE-GGA) of crystalline HoNbSb2 at its relaxed geometry.

a = 4.177 Å, b = 4.177 Å, c = 5.868 Å
α = 90.00°, β = 90.00°, γ = 90.00°
Fractional positions:
Sb (0.000, 0.000, 0.500)
Nb (0.500, 0.500, 0.500)
Sb (0.500, 0.500, 0.000)
Ho (0.000, 0.000, 0.000)

Theoretical density   8.13 g/cm³
DFT total energy   -6.037 eV/atom

---

Record 27
The following is a DFT calculation (PBE-GGA) of crystalline HoNbSb at its relaxed geometry.

a = 4.979 Å, b = 4.979 Å, c = 4.979 Å
α = 60.00°, β = 60.00°, γ = 60.00°
Fractional positions:
Sb (0.250, 0.250, 0.250)
Ho (0.000, 0.000, 0.000)
Nb (0.750, 0.750, 0.750)

Theoretical density   7.22 g/cm³
DFT total energy   -5.624 eV/atom

---

Record 28
The following is a DFT calculation (PBE-GGA) of crystalline HoNbSb at its relaxed geometry.

a = 4.794 Å, b = 4.794 Å, c = 4.794 Å
α = 60.00°, β = 60.00°, γ = 60.00°
Each line ends with the local moment (μB).
Fractional positions:
Nb (0.750, 0.750, 0.750)  0.07
Sb (0.000, 0.000, 0.000)  0.00
Ho (0.250, 0.250, 0.250)  0.00

Theoretical density   8.09 g/cm³
DFT total energy   -6.277 eV/atom

---

Record 29
The following is a DFT calculation (PBE-GGA) of crystalline HoScNb at its relaxed geometry.

a = 4.886 Å, b = 4.886 Å, c = 4.886 Å
α = 60.00°, β = 60.00°, γ = 60.00°
Each line ends with the local moment (μB).
Fractional positions:
Sc (0.750, 0.750, 0.750)  0.17
Nb (0.000, 0.000, 0.000)  1.28
Ho (0.250, 0.250, 0.250)  0.16

Theoretical density   6.10 g/cm³
Polymorph energy (0 for the lowest one)   0.00 eV per formula unit
Calculated formation energy   0.827 eV/atom

---

Record 30
The following is a DFT calculation (PBE-GGA) of crystalline HoScNb at its relaxed geometry.

a = 4.853 Å, b = 4.853 Å, c = 4.853 Å
α = 60.00°, β = 60.00°, γ = 60.00°
Each line ends with the local moment (μB).
Fractional positions:
Nb (0.250, 0.250, 0.250)  0.94
Ho (0.000, 0.000, 0.000)  0.33
Sc (0.750, 0.750, 0.750)  -0.03

Theoretical density   6.22 g/cm³
Polymorph energy (0 for the lowest one)   1.16 eV per formula unit
Calculated formation energy   1.212 eV/atom

---

Record 31
The following is a DFT calculation (PBE-GGA) of crystalline HoTmNb2Si2 at its relaxed geometry.

a = 3.992 Å, b = 3.992 Å, c = 7.694 Å
α = 90.00°, β = 90.00°, γ = 90.00°
Each line ends with the local moment (μB).
Fractional positions:
Si (0.000, 0.000, 0.756)  -0.01
Nb (0.500, 0.000, 0.999)  0.06
Nb (0.000, 0.500, 0.999)  0.06
Ho (0.000, 0.000, 0.355)  0.30
Tm (0.500, 0.500, 0.647)  0.31
Si (0.500, 0.500, 0.243)  -0.01

Theoretical density   7.80 g/cm³
DFT total energy   -7.317 eV/atom